1.
This record from Alexandria describes a relaxed Be2HgRh crystal. The functional is PBE.

The space group is C2/m (No. 12) and the conventional cell measures 7.8399, 3.0075 and 4.8337 Å, with angles of 90.00, 103.17 and 90.00 degrees. Symmetry generates all atoms from Be at (0.2268, 0.0000, 0.1501), Hg at (0.0000, 0.0000, 0.5000) and Rh at (0.0000, 0.5000, 0.0000).

The magnetization comes out at 0.000 μB per atom. Its formation energy is 15 meV/atom. The calculation puts the total energy at -15.0 eV/f.u.

2.
This record from Alexandria describes a relaxed NaPm2Tl crystal. The functional is PBE.

The space group is P4/mmm (No. 123) and the conventional cell measures 5.2006, 5.2006 and 4.4199 Å, with angles of 90.00, 90.00 and 90.00 degrees. Symmetry generates all atoms from Na at (0.0000, 0.0000, 0.0000), Pm at (0.0000, 0.5000, 0.5000) and Tl at (0.5000, 0.5000, 0.0000).

The magnetization comes out at 0.001 μB per atom. Its formation energy is -78 meV/atom. The calculation puts the total energy at -13.5 eV/f.u.

3.
This record from Alexandria describes a relaxed NdYSbTe crystal. The functional is PBE.

The space group is R3m (No. 160, hexagonal axes) and the conventional cell measures 4.4413, 4.4413 and 21.9014 Å, with angles of 90.00, 90.00 and 120.00 degrees. Symmetry generates all atoms from Nd at (0.0000, 0.0000, 0.0000), Y at (0.0000, 0.0000, 0.5074), Sb at (0.0000, 0.0000, 0.2505) and Te at (0.0000, 0.0000, 0.7569).

The formation energy from raw total energies is -1.32 eV per atom. The magnetization comes out at 0.000 μB per atom. The calculation puts the total energy at -23.8 eV/f.u.